[1]
A geometry-optimized Nd11Y9Er4 structure, computed with PBE.

Energy relative to the elements ... 0.05 eV per atom

a b c (Å): 3.6690 15.4831 15.4831
angles (deg): 113.17 90.00 90.00
Fractional coordinates of all 24 atoms:
Nd  0.0000  0.5942  0.9563
Y  0.5000  0.9313  0.7858
Nd  0.0000  0.3689  0.6311
Er  0.5000  0.2412  0.4447
Y  0.5000  0.8344  0.3700
Nd  0.0000  0.4058  0.0437
Y  0.5000  0.1656  0.6300
Nd  0.0000  0.0437  0.4058
Y  0.5000  0.0687  0.2142
Nd  0.0000  0.8397  0.1603
Y  0.5000  0.2142  0.0687
Er  0.5000  0.5553  0.7588
Y  0.5000  0.3700  0.8344
Nd  0.0000  0.6311  0.3689
Er  0.5000  0.4447  0.2412
Nd  0.0000  0.0000  0.0000
Y  0.5000  0.5000  0.5000
Nd  0.0000  0.1603  0.8397
Er  0.5000  0.7588  0.5553
Nd  0.0000  0.2935  0.2935
Y  0.5000  0.7858  0.9313
Nd  0.0000  0.9563  0.5942
Y  0.5000  0.6300  0.1656
Nd  0.0000  0.7065  0.7065

***

[2]
A geometry-optimized KMn structure, computed with PBE.

Energy relative to the elements ... 1.21 eV per atom

a b c (Å): 13.5508 13.5508 3.2537
angles (deg): 90.00 90.00 90.00
Each line ends with the local moment (μB).
Fractional coordinates of all 16 atoms:
K  0.2349  0.5000  0.0000  0.01
Mn  0.7185  0.7185  0.5000  0.31
Mn  0.7815  0.7815  0.0000  0.31
K  0.0000  0.7349  0.5000  0.01
K  0.2651  0.0000  0.5000  0.01
Mn  0.7815  0.2185  0.0000  0.31
Mn  0.2185  0.7815  0.0000  0.31
Mn  0.2815  0.7185  0.5000  0.31
K  0.7651  0.5000  0.0000  0.01
K  0.5000  0.7651  0.0000  0.01
K  0.5000  0.2349  0.0000  0.01
Mn  0.2815  0.2815  0.5000  0.31
K  0.7349  0.0000  0.5000  0.01
K  0.0000  0.2651  0.5000  0.01
Mn  0.2185  0.2185  0.0000  0.31
Mn  0.7185  0.2815  0.5000  0.31

***

[3]
A geometry-optimized SiP2S8 structure, computed with PBE.

a b c (Å): 5.3918 7.2256 7.2256
angles (deg): 74.22 82.63 82.63
Fractional coordinates of all 11 atoms:
S  0.7770  0.0951  0.7310
S  0.7847  0.6482  0.6482
S  0.2153  0.3518  0.3518
S  0.2694  0.8199  0.8199
P  0.6544  0.8182  0.8182
P  0.3456  0.1818  0.1818
S  0.2230  0.9049  0.2690
S  0.7770  0.7310  0.0951
Si  0.0000  0.0000  0.0000
S  0.2230  0.2690  0.9049
S  0.7306  0.1801  0.1801

***

[4]
A geometry-optimized Cd2SbAs structure, computed with PBE.

a b c (Å): 4.1675 4.1675 5.8573
angles (deg): 90.00 90.00 90.00
Fractional coordinates of all 4 atoms:
Cd  0.5000  0.5000  0.1246
As  0.5000  0.5000  0.6250
Sb  0.0000  0.0000  0.6252
Cd  0.0000  0.0000  0.1252

***

[5]
A geometry-optimized KBaNa4 structure, computed with PBE.

Energy relative to the elements ... 0.02 eV per atom

a b c (Å): 7.3552 7.3552 7.3552
angles (deg): 60.00 60.00 60.00
Fractional coordinates of all 6 atoms:
K  0.2500  0.2500  0.2500
Ba  0.0000  0.0000  0.0000
Na  0.1252  0.6249  0.6249
Na  0.6249  0.6249  0.1252
Na  0.6249  0.1252  0.6249
Na  0.6249  0.6249  0.6249

***

[6]
A geometry-optimized Er2NiGe4Pt3 structure, computed with PBE.

Energy relative to the elements ... -0.81 eV per atom

a b c (Å): 4.1057 4.1057 10.7441
angles (deg): 90.00 90.00 90.00
Fractional coordinates of all 10 atoms:
Ge  0.0000  0.0000  0.0000
Pt  0.0000  0.5000  0.1444
Pt  0.5000  0.0000  0.8556
Er  0.0000  0.5000  0.7346
Er  0.5000  0.0000  0.2654
Ge  0.0000  0.5000  0.3711
Ni  0.5000  0.5000  0.5000
Pt  0.0000  0.0000  0.5000
Ge  0.5000  0.5000  0.0000
Ge  0.5000  0.0000  0.6289

***

[7]
A geometry-optimized BaYMg structure, computed with PBE.

Energy relative to the elements ... 0.78 eV per atom

a b c (Å): 5.5691 5.5691 5.5691
angles (deg): 60.00 60.00 60.00
Fractional coordinates of all 3 atoms:
Mg  0.0000  0.0000  0.0000
Ba  0.7500  0.7500  0.7500
Y  0.5000  0.5000  0.5000

***

[8]
A geometry-optimized SmDyMgHg structure, computed with PBE.

Energy relative to the elements ... -0.28 eV per atom

a b c (Å): 3.7981 3.7981 7.4870
angles (deg): 90.00 90.00 90.00
Fractional coordinates of all 4 atoms:
Sm  0.0000  0.0000  0.8581
Mg  0.5000  0.5000  0.5992
Hg  0.5000  0.5000  0.1182
Dy  0.0000  0.0000  0.3525

***

[9]
A geometry-optimized MgSiSe2 structure, computed with PBE.

a b c (Å): 6.1334 6.1334 4.1147
angles (deg): 107.54 107.54 36.31
Fractional coordinates of all 4 atoms:
Mg  0.2583  0.2583  0.2116
Si  0.5050  0.5050  0.6044
Se  0.7206  0.7206  0.6904
Se  0.0161  0.0161  0.9936

***

[10]
A geometry-optimized BaTi2BSb structure, computed with PBE.

a b c (Å): 5.1644 6.6175 5.1644
angles (deg): 90.00 90.00 90.00
Each line ends with the local moment (μB).
Fractional coordinates of all 5 atoms:
Ti  0.0000  0.0000  0.5000  1.64
Sb  0.0000  0.0000  0.0000  -0.07
B  0.5000  0.5000  0.5000  -0.37
Ba  0.0000  0.5000  0.0000  -0.04
Ti  0.5000  0.0000  0.0000  1.33

***

[11]
A geometry-optimized Ac2Dy3Y2 structure, computed with PBE.

Energy relative to the elements ... 0.16 eV per atom

a b c (Å): 5.7816 5.7814 9.3311
angles (deg): 71.93 71.92 59.91
Fractional coordinates of all 7 atoms:
Ac  0.8664  0.8663  0.4022
Dy  0.7239  0.7240  0.8252
Ac  0.1336  0.1337  0.5978
Dy  0.0000  0.0000  0.0000
Y  0.5955  0.5953  0.2164
Y  0.4045  0.4047  0.7836
Dy  0.2761  0.2760  0.1748

***

[12]
A geometry-optimized Pr2NpGaN5 structure, computed with PBE.

a b c (Å): 3.4751 7.3385 10.4632
angles (deg): 90.00 90.00 103.70
Each line ends with the local moment (μB).
Fractional coordinates of all 18 atoms:
Np  0.7900  0.5800  0.5167  1.21
Np  0.2100  0.4200  0.0167  1.21
N  0.5039  0.0078  0.2816  -0.01
N  0.6925  0.3849  0.8876  -0.06
Ga  0.5421  0.0842  0.9526  0.00
N  0.6461  0.2922  0.5029  -0.04
Pr  0.8732  0.7463  0.8098  0.01
Pr  0.8958  0.7916  0.1848  0.00
N  0.2828  0.5657  0.6454  -0.06
N  0.9435  0.8871  0.5426  -0.03
N  0.3539  0.7078  0.0029  -0.04
N  0.7172  0.4343  0.1454  -0.06
N  0.3075  0.6151  0.3876  -0.06
N  0.4961  0.9922  0.7816  -0.01
N  0.0565  0.1129  0.0426  -0.03
Pr  0.1042  0.2084  0.6848  0.00
Pr  0.1268  0.2537  0.3098  0.01
Ga  0.4579  0.9158  0.4526  0.00

***

| no. | D(E_F) (states/eV per cell) | calculated total energy (eV/atom) |
| --- | --- | --- |
| 1 | 31.31 | -5.32 |
| 2 | 18.65 | -3.92 |
| 3 | 10.05 | -4.53 |
| 4 | 3.31 | -2.52 |
| 5 | 6.05 | -1.36 |
| 6 | 7.09 | -5.96 |
| 7 | 4.06 | -2.55 |
| 8 | 4.75 | -3.09 |
| 9 | 0.00 | -4.03 |
| 10 | 5.44 | -4.36 |
| 11 | 14.19 | -4.83 |
| 12 | 3.63 | -8.45 |